*1*
Here is LaTiNi3 after structural relaxation from the Alexandria database. Energies are from GGA-PBE.

abc: 4.5479 4.5479 4.5479
angles: 90.00 90.00 90.00
Closest atoms and distances in Å follow each position.
Sites, in units of the cell vectors:
La: 0.0000 0.0000 0.0000  12 Ni 3.22
Ti: 0.5000 0.5000 0.5000  6 Ni 2.27
Ni: 0.0000 0.5000 0.5000  2 Ti 2.27
Ni: 0.5000 0.0000 0.5000  2 Ti 2.27
Ni: 0.5000 0.5000 0.0000  2 Ti 2.27

Results
SG   Pm-3m, No. 221

=====

*2*
Here is LaTiNi3 after structural relaxation from the Alexandria database. Energies are from GGA-PBE.

abc: 4.7007 4.7007 4.7007
angles: 90.00 90.00 90.00
Closest atoms and distances in Å follow each position.
Sites, in units of the cell vectors:
La: 0.0000 0.0000 0.0000  6 Ni 2.35
Ti: 0.5000 0.5000 0.5000  12 Ni 3.32
Ni: 0.0000 0.0000 0.5000  2 La 2.35
Ni: 0.0000 0.5000 0.0000  2 La 2.35
Ni: 0.5000 0.0000 0.0000  2 La 2.35

Results
SG   Pm-3m, No. 221

=====

Which structure is most stable, and how do the rest compare? From most to least stable: *1*, *2*.

=====

*1*
Here is LaTi2Ni after structural relaxation from the Alexandria database. Energies are from GGA-PBE.

abc: 4.7125 4.7125 17.3407
angles: 90.00 90.00 90.00
Closest atoms and distances in Å follow each position.
Sites, in units of the cell vectors:
La: 0.0000 0.2500 0.3750  4 Ni 3.33, 8 Ti 3.41
La: 0.0000 0.7500 0.6250  4 Ni 3.33, 8 Ti 3.41
La: 0.5000 0.2500 0.1250  4 Ni 3.33, 8 Ti 3.41
La: 0.5000 0.7500 0.8750  4 Ni 3.33, 8 Ti 3.41
Ti: 0.0000 0.0000 0.0000  2 Ti 2.36, 2 Ni 2.47
Ti: 0.0000 0.5000 0.0000  2 Ti 2.36, 2 Ni 2.47
Ti: 0.2500 0.2500 0.7500  2 Ti 2.36, 2 Ni 2.47
Ti: 0.2500 0.7500 0.2500  2 Ti 2.36, 2 Ni 2.47
Ti: 0.5000 0.0000 0.5000  2 Ti 2.36, 2 Ni 2.47
Ti: 0.5000 0.5000 0.5000  2 Ti 2.36, 2 Ni 2.47
Ti: 0.7500 0.2500 0.7500  2 Ti 2.36, 2 Ni 2.47
Ti: 0.7500 0.7500 0.2500  2 Ti 2.36, 2 Ni 2.47
Ni: 0.0000 0.2500 0.8750  4 Ti 2.47
Ni: 0.0000 0.7500 0.1250  4 Ti 2.47
Ni: 0.5000 0.2500 0.6250  4 Ti 2.47
Ni: 0.5000 0.7500 0.3750  4 Ti 2.47

Results
SG   I4_1/amd, No. 141

=====

*2*
Here is LaTi2Ni after structural relaxation from the Alexandria database. Energies are from GGA-PBE.

abc: 6.5355 6.5355 6.5355
angles: 90.00 90.00 90.00
Closest atoms and distances in Å follow each position.
Sites, in units of the cell vectors:
La: 0.0000 0.0000 0.0000  8 Ti 2.83
La: 0.0000 0.5000 0.5000  8 Ti 2.83
La: 0.5000 0.0000 0.5000  8 Ti 2.83
La: 0.5000 0.5000 0.0000  8 Ti 2.83
Ti: 0.2500 0.2500 0.2500  4 La 2.83, 4 Ni 2.83
Ti: 0.2500 0.2500 0.7500  4 La 2.83, 4 Ni 2.83
Ti: 0.2500 0.7500 0.2500  4 La 2.83, 4 Ni 2.83
Ti: 0.2500 0.7500 0.7500  4 La 2.83, 4 Ni 2.83
Ti: 0.7500 0.2500 0.2500  4 La 2.83, 4 Ni 2.83
Ti: 0.7500 0.2500 0.7500  4 La 2.83, 4 Ni 2.83
Ti: 0.7500 0.7500 0.2500  4 La 2.83, 4 Ni 2.83
Ti: 0.7500 0.7500 0.7500  4 La 2.83, 4 Ni 2.83
Ni: 0.0000 0.0000 0.5000  8 Ti 2.83
Ni: 0.0000 0.5000 0.0000  8 Ti 2.83
Ni: 0.5000 0.0000 0.0000  8 Ti 2.83
Ni: 0.5000 0.5000 0.5000  8 Ti 2.83

Results
SG   Fm-3m, No. 225

=====

Which structure is most stable, and how do the rest compare? From most to least stable: *2*, *1*.

=====

*1*
Here is LaTiNi2 after structural relaxation from the Alexandria database. Energies are from GGA-PBE.

abc: 6.6025 6.6025 6.6025
angles: 90.00 90.00 90.00
Closest atoms and distances in Å follow each position.
Sites, in units of the cell vectors:
La: 0.0000 0.0000 0.0000  8 Ni 2.86
La: 0.0000 0.5000 0.5000  8 Ni 2.86
La: 0.5000 0.0000 0.5000  8 Ni 2.86
La: 0.5000 0.5000 0.0000  8 Ni 2.86
Ti: 0.0000 0.0000 0.5000  8 Ni 2.86
Ti: 0.0000 0.5000 0.0000  8 Ni 2.86
Ti: 0.5000 0.0000 0.0000  8 Ni 2.86
Ti: 0.5000 0.5000 0.5000  8 Ni 2.86
Ni: 0.2500 0.2500 0.2500  4 Ti 2.86, 4 La 2.86
Ni: 0.2500 0.2500 0.7500  4 La 2.86, 4 Ti 2.86
Ni: 0.2500 0.7500 0.2500  4 La 2.86, 4 Ti 2.86
Ni: 0.2500 0.7500 0.7500  4 La 2.86, 4 Ti 2.86
Ni: 0.7500 0.2500 0.2500  4 La 2.86, 4 Ti 2.86
Ni: 0.7500 0.2500 0.7500  4 La 2.86, 4 Ti 2.86
Ni: 0.7500 0.7500 0.2500  4 La 2.86, 4 Ti 2.86
Ni: 0.7500 0.7500 0.7500  4 La 2.86, 4 Ti 2.86

Results
SG   Fm-3m, No. 225

=====

*2*
Here is LaTiNi2 after structural relaxation from the Alexandria database. Energies are from GGA-PBE.

abc: 4.7579 4.7579 15.5185
angles: 90.00 90.00 90.00
Closest atoms and distances in Å follow each position.
Sites, in units of the cell vectors:
La: 0.0000 0.2500 0.3750  8 Ni 3.29, 4 Ti 3.36
La: 0.0000 0.7500 0.6250  8 Ni 3.29, 4 Ti 3.36
La: 0.5000 0.2500 0.1250  8 Ni 3.29, 4 Ti 3.36
La: 0.5000 0.7500 0.8750  8 Ni 3.29, 4 Ti 3.36
Ti: 0.0000 0.2500 0.8750  4 Ni 2.28
Ti: 0.0000 0.7500 0.1250  4 Ni 2.28
Ti: 0.5000 0.2500 0.6250  4 Ni 2.28
Ti: 0.5000 0.7500 0.3750  4 Ni 2.28
Ni: 0.0000 0.0000 0.0000  2 Ti 2.28, 2 Ni 2.38
Ni: 0.0000 0.5000 0.0000  2 Ti 2.28, 2 Ni 2.38
Ni: 0.2500 0.2500 0.7500  2 Ti 2.28, 2 Ni 2.38
Ni: 0.2500 0.7500 0.2500  2 Ti 2.28, 2 Ni 2.38
Ni: 0.5000 0.0000 0.5000  2 Ti 2.28, 2 Ni 2.38
Ni: 0.5000 0.5000 0.5000  2 Ti 2.28, 2 Ni 2.38
Ni: 0.7500 0.2500 0.7500  2 Ti 2.28, 2 Ni 2.38
Ni: 0.7500 0.7500 0.2500  2 Ti 2.28, 2 Ni 2.38

Results
SG   I4_1/amd, No. 141

=====

*3*
Here is LaTiNi2 after structural relaxation from the Alexandria database. Energies are from GGA-PBE.

abc: 3.1271 3.1271 7.0920
angles: 90.00 90.00 90.00
Closest atoms and distances in Å follow each position.
Sites, in units of the cell vectors:
La: 0.0000 0.0000 0.0000  4 La 3.13, 8 Ni 3.15
Ti: 0.0000 0.0000 0.5000  8 Ni 2.56
Ni: 0.5000 0.5000 0.3172  4 Ti 2.56, 1 Ni 2.59
Ni: 0.5000 0.5000 0.6828  4 Ti 2.56, 1 Ni 2.59

Results
SG   P4/mmm, No. 123

=====

Which structure is most stable, and how do the rest compare? From most to least stable: *3*, *1*, *2*.

=====

*1*
Here is LaTl3Ni after structural relaxation from the Alexandria database. Energies are from GGA-PBE.

abc: 5.1035 5.1035 5.1035
angles: 90.00 90.00 90.00
Closest atoms and distances in Å follow each position.
Sites, in units of the cell vectors:
La: 0.0000 0.0000 0.0000  12 Tl 3.61
Tl: 0.0000 0.5000 0.5000  2 Ni 2.55
Tl: 0.5000 0.0000 0.5000  2 Ni 2.55
Tl: 0.5000 0.5000 0.0000  2 Ni 2.55
Ni: 0.5000 0.5000 0.5000  6 Tl 2.55

Results
SG   Pm-3m, No. 221

=====

*2*
Here is LaTl3Ni after structural relaxation from the Alexandria database. Energies are from GGA-PBE.

abc: 6.1445 6.1445 6.1445
angles: 90.00 90.00 90.00
Closest atoms and distances in Å follow each position.
Sites, in units of the cell vectors:
La: 0.0000 0.0000 0.0000  6 Tl 3.07
Tl: 0.0000 0.0000 0.5000  2 La 3.07
Tl: 0.0000 0.5000 0.0000  2 La 3.07
Tl: 0.5000 0.0000 0.0000  2 La 3.07
Ni: 0.5000 0.5000 0.5000  12 Tl 4.34

Results
SG   Pm-3m, No. 221

=====

Which structure is most stable, and how do the rest compare? From most to least stable: *1*, *2*.